No. 1
SrPmSn6 | PBE-GGA | optimized geometry

a = 4.7751 Å, b = 4.7751 Å, c = 9.7737 Å
α = 90.00°, β = 90.00°, γ = 90.00°
Space group P4/mmm (No. 123)
Unique sites:
Sr1 0.0000 0.0000 0.0000 x1
Pm1 0.0000 0.0000 0.5000 x1
Sn1 0.0000 0.5000 0.2542 x4
Sn2 0.5000 0.5000 0.0000 x1
Sn3 0.5000 0.5000 0.5000 x1

Values from the calculation:
energy of formation from the pure elements = -447.4 meV per atom

No. 2
Sr2Pm3Sn4 | PBE-GGA | optimized geometry

a = 7.4561 Å, b = 17.6495 Å, c = 9.2641 Å
α = 90.00°, β = 90.00°, γ = 90.00°
Space group Cmce (No. 64)
Unique sites:
Sr1 0.0000 0.1113 0.0871 x8
Pm1 0.0000 0.0000 0.5000 x4
Pm2 0.2500 0.2083 0.7500 x8
Sn1 0.0000 0.1905 0.4552 x8
Sn2 0.2500 0.0332 0.7500 x8

Values from the calculation:
energy of formation from the pure elements = -584.5 meV per atom

No. 3
Sr3PmSn2 | PBE-GGA | optimized geometry

a = 7.3874 Å, b = 17.1629 Å, c = 7.2150 Å
α = 90.00°, β = 90.00°, γ = 90.00°
Space group Ibam (No. 72)
Unique sites:
Sr1 0.0000 0.0000 0.2500 x4
Sr2 0.2414 0.3185 0.0000 x8
Pm1 0.0000 0.5000 0.2500 x4
Sn1 0.2341 0.3777 0.5000 x8

Values from the calculation:
energy of formation from the pure elements = -531.6 meV per atom

No. 4
SrPm3Sn2 | PBE-GGA | optimized geometry

a = 18.6972 Å, b = 4.8080 Å, c = 9.7679 Å
α = 90.00°, β = 114.18°, γ = 90.00°
Space group C2/m (No. 12)
Unique sites:
Sr1 0.1134 0.0000 0.1309 x4
Pm1 0.0525 0.0000 0.6848 x4
Pm2 0.1475 0.5000 0.4806 x4
Pm3 0.1942 0.5000 0.8842 x4
Sn1 0.0100 0.5000 0.8478 x4
Sn2 0.2369 0.0000 0.7078 x4

Values from the calculation:
energy of formation from the pure elements = -464.9 meV per atom

No. 5
Sr3Pm2Sn4 | PBE-GGA | optimized geometry

a = 14.2590 Å, b = 4.7600 Å, c = 10.3192 Å
α = 90.00°, β = 113.49°, γ = 90.00°
Space group C2/m (No. 12)
Unique sites:
Sr1 0.0000 0.0000 0.0000 x2
Sr2 0.1119 0.5000 0.6965 x4
Pm1 0.1848 0.5000 0.3475 x4
Sn1 0.0780 0.0000 0.4194 x4
Sn2 0.2179 0.5000 0.0637 x4

Values from the calculation:
energy of formation from the pure elements = -562.6 meV per atom

No. 6
SrPm5Sn6 | PBE-GGA | optimized geometry

a = 8.5270 Å, b = 16.0156 Å, c = 6.2934 Å
α = 90.00°, β = 121.09°, γ = 90.00°
Space group C2/m (No. 12)
Unique sites:
Sr1 0.0000 0.0000 0.0000 x2
Pm1 0.0000 0.1396 0.5000 x4
Pm2 0.0000 0.3171 0.0000 x4
Pm3 0.0000 0.5000 0.5000 x2
Sn1 0.2005 0.5000 0.1701 x4
Sn2 0.2117 0.3240 0.6824 x8

Values from the calculation:
energy of formation from the pure elements = -630.6 meV per atom